1.
Below is crystalline Nb3SnIr at its relaxed geometry, with properties calculated at the GGA-PBE level.

The size of the total moment comes out at 0.00 μB per cell. Its symmetry is Pm-3m, No. 221. Its formation energy from the elements is 0.69 eV per atom. Its density of states at the Fermi level is 3.5 states/eV per cell.

Cell lengths 4.878, 4.878, 4.878 Å; angles 90.00, 90.00, 90.00 degrees
Fractional coordinates of all 5 atoms:
Ir 0.000 0.000 0.000
Nb 0.000 0.500 0.000
Sn 0.500 0.500 0.500
Nb 0.000 0.000 0.500
Nb 0.500 0.000 0.000

---

2.
Below is crystalline NbSn2Ir at its relaxed geometry, with properties calculated at the GGA-PBE level.

The size of the total moment comes out at 0.00 μB per cell. Its symmetry is I-42d, No. 122. Its formation energy from the elements is 0.32 eV per atom. Its density of states at the Fermi level is 8.9 states/eV per cell.

Cell lengths 7.657, 7.657, 6.129 Å; angles 51.34, 51.34, 90.00 degrees
Fractional coordinates of all 8 atoms:
Ir 0.750 0.250 0.500
Sn 0.375 0.343 0.750
Sn 0.093 0.625 0.250
Sn 0.875 0.907 0.750
Nb 0.500 0.500 0.000
Ir 0.000 0.000 0.000
Nb 0.250 0.750 0.500
Sn 0.657 0.125 0.250

---

3.
Below is crystalline SrNb2SnIr at its relaxed geometry, with properties calculated at the GGA-PBE level.

The size of the total moment comes out at 2.82 μB per cell. Its symmetry is P4/mmm, No. 123. Its formation energy from the elements is 1.78 eV per atom. Its density of states at the Fermi level is 5.2 states/eV per cell.

Cell lengths 5.096, 5.725, 5.096 Å; angles 90.00, 90.00, 90.00 degrees
Fractional coordinates of all 5 atoms:
Sn 0.000 0.000 0.000
Sr 0.000 0.500 0.000
Nb 0.000 0.000 0.500
Nb 0.500 0.000 0.000
Ir 0.500 0.500 0.500

---

4.
Below is crystalline NbVSn2Ir at its relaxed geometry, with properties calculated at the GGA-PBE level.

The size of the total moment comes out at 0.17 μB per cell. Its symmetry is P4/mmm, No. 123. Its formation energy from the elements is 1.12 eV per atom. Its density of states at the Fermi level is 6.3 states/eV per cell.

Cell lengths 4.985, 5.004, 4.985 Å; angles 90.00, 90.00, 90.00 degrees
Fractional coordinates of all 5 atoms:
Sn 0.500 0.000 0.000
Nb 0.000 0.500 0.000
Sn 0.000 0.000 0.500
Ir 0.000 0.000 0.000
V 0.500 0.500 0.500

---

5.
Below is crystalline ZrNb2SnIr at its relaxed geometry, with properties calculated at the GGA-PBE level.

The size of the total moment comes out at 0.00 μB per cell. Its symmetry is P4/mmm, No. 123. Its formation energy from the elements is 0.71 eV per atom. Its density of states at the Fermi level is 7.8 states/eV per cell.

Cell lengths 4.926, 4.932, 4.926 Å; angles 90.00, 90.00, 90.00 degrees
Fractional coordinates of all 5 atoms:
Ir 0.000 0.000 0.000
Nb 0.000 0.000 0.500
Sn 0.000 0.500 0.000
Nb 0.500 0.000 0.000
Zr 0.500 0.500 0.500

---

6.
Below is crystalline SrNbIr2 at its relaxed geometry, with properties calculated at the GGA-PBE level.

The size of the total moment comes out at 0.00 μB per cell. Its symmetry is Fm-3m, No. 225. Its formation energy from the elements is 0.18 eV per atom. Its density of states at the Fermi level is 4.4 states/eV per cell.

Cell lengths 4.751, 4.751, 4.751 Å; angles 60.00, 60.00, 60.00 degrees
Fractional coordinates of all 4 atoms:
Ir 0.750 0.750 0.750
Ir 0.250 0.250 0.250
Sr 0.000 0.000 0.000
Nb 0.500 0.500 0.500

---

7.
Below is crystalline SrNbIr at its relaxed geometry, with properties calculated at the GGA-PBE level.

The size of the total moment comes out at 0.00 μB per cell. Its symmetry is P4/nmm, No. 129. Its formation energy from the elements is -0.33 eV per atom. Its density of states at the Fermi level is 3.9 states/eV per cell.

Cell lengths 4.589, 4.589, 7.336 Å; angles 90.00, 90.00, 90.00 degrees
Fractional coordinates of all 6 atoms:
Ir 0.500 0.000 0.664
Sr 0.000 0.500 0.855
Sr 0.500 0.000 0.145
Nb 0.500 0.500 0.500
Ir 0.000 0.500 0.336
Nb 0.000 0.000 0.500

---

8.
Below is crystalline SrNbIr2 at its relaxed geometry, with properties calculated at the GGA-PBE level.

The size of the total moment comes out at 0.00 μB per cell. Its symmetry is I-42d, No. 122. Its formation energy from the elements is 0.24 eV per atom. Its density of states at the Fermi level is 4.7 states/eV per cell.

Cell lengths 7.500, 7.500, 6.155 Å; angles 52.46, 52.46, 90.00 degrees
Fractional coordinates of all 8 atoms:
Ir 0.071 0.625 0.250
Ir 0.375 0.321 0.750
Nb 0.750 0.250 0.500
Ir 0.875 0.929 0.750
Ir 0.679 0.125 0.250
Sr 0.500 0.500 0.000
Sr 0.250 0.750 0.500
Nb 0.000 0.000 0.000